Si2NiHg2 | PBE | relaxed

a = 4.109 Å, b = 4.109 Å, c = 12.020 Å
α = 90.00°, β = 90.00°, γ = 90.00°
Fractional positions:
Si: 0.000 0.000 0.094
Si: 0.000 0.000 0.906
Si: 0.500 0.500 0.406
Si: 0.500 0.500 0.594
Ni: 0.000 0.000 0.500
Ni: 0.500 0.500 0.000
Hg: 0.000 0.500 0.250
Hg: 0.000 0.500 0.750
Hg: 0.500 0.000 0.250
Hg: 0.500 0.000 0.750

Computed properties:
Excess energy over the best structure of this formula in the dataset (eV/atom): 0.655
Raw formation energy (meV/atom): 822